Computed, not measured: a relaxed structure of PaSnPt at the PBE-GGA level of DFT.

Values from the calculation:
Magnetic moment (μB per cell): 3.39
Total energy (eV for the cell shown): -87.42

abc: 6.686 6.686 6.686
angles: 90.00 90.00 90.00
Space group F-43m (No. 216)
Asymmetric unit:
Pa1 0.000 0.000 0.000 [4 per cell]
Sn1 0.000 0.000 0.500 [4 per cell]
Pt1 0.250 0.250 0.750 [4 per cell]

***

Computed, not measured: a relaxed structure of TcCl2 at the PBE-GGA level of DFT.

Values from the calculation:
ΔE to the lowest computed polymorph (meV per atom): 1695.7
Magnetic moment (μB per cell): 30.52

abc: 8.100 8.100 8.100
angles: 90.00 90.00 90.00
Space group Fd-3m (No. 227, origin choice 2)
Asymmetric unit:
Tc1 0.125 0.125 0.125 [8 per cell]
Cl1 0.000 0.000 0.500 [16 per cell]

***

Computed, not measured: a relaxed structure of SrCuSb at the PBE-GGA level of DFT.

Values from the calculation:
Total energy (eV for the cell shown): -32.68

abc: 7.6181 7.6181 4.4587
angles: 90.00 90.00 120.00
Space group P-62m (No. 189)
Asymmetric unit:
Sr1 0.0000 0.6138 0.0000 [3 per cell]
Cu1 0.0000 0.0000 0.0000 [1 per cell]
Cu2 0.3333 0.6667 0.5000 [2 per cell]
Sb1 0.0000 0.2828 0.5000 [3 per cell]

***

Computed, not measured: a relaxed structure of Ta2NbNi at the PBE-GGA level of DFT.

Values from the calculation:
Magnetic moment (μB per cell): 0.00
Formation enthalpy at 0 K (eV/atom): 0.04

abc: 6.404 6.404 6.404
angles: 90.00 90.00 90.00
Space group F-43m (No. 216)
Asymmetric unit:
Ta1 0.000 0.000 0.000 [4 per cell]
Ta2 0.250 0.250 0.250 [4 per cell]
Nb1 0.000 0.000 0.500 [4 per cell]
Ni1 0.250 0.250 0.750 [4 per cell]

***

Computed, not measured: a relaxed structure of Tb2NbSb3 at the PBE-GGA level of DFT.

Values from the calculation:
Magnetic moment (μB per cell): 0.02
Total energy (eV for the cell shown): -35.79

abc: 4.2441 4.2441 10.4237
angles: 90.00 90.00 120.00
Space group P-3m1 (No. 164)
Asymmetric unit:
Tb1 0.3333 0.6667 0.1791 [2 per cell]
Nb1 0.0000 0.0000 0.5000 [1 per cell]
Sb1 0.0000 0.0000 0.0000 [1 per cell]
Sb2 0.3333 0.6667 0.6443 [2 per cell]

***

Computed, not measured: a relaxed structure of Y2Hf4Pb3C3 at the PBE-GGA level of DFT.

Values from the calculation:
Magnetic moment (μB per cell): 0.02
Total energy (eV for the cell shown): -395.31

abc: 10.382 5.995 15.467
angles: 90.00 103.10 90.00
Space group C2/c (No. 15)
Asymmetric unit:
Y1 0.049 0.080 0.408 [8 per cell]
Hf1 0.110 0.410 0.577 [8 per cell]
Hf2 0.227 0.420 0.923 [8 per cell]
Pb1 0.000 0.445 0.250 [4 per cell]
Pb2 0.181 0.097 0.752 [8 per cell]
C1 0.089 0.265 0.000 [8 per cell]
C2 0.250 0.250 0.500 [4 per cell]

***

Repeat the second record exactly.
Computed, not measured: a relaxed structure of TcCl2 at the PBE-GGA level of DFT.

Values from the calculation:
ΔE to the lowest computed polymorph (meV per atom): 1695.7
Magnetic moment (μB per cell): 30.52

abc: 8.100 8.100 8.100
angles: 90.00 90.00 90.00
Space group Fd-3m (No. 227, origin choice 2)
Asymmetric unit:
Tc1 0.125 0.125 0.125 [8 per cell]
Cl1 0.000 0.000 0.500 [16 per cell]